# 1
The following is a PBE calculation of a geometry-optimized U2Co4Si3Ni structure, from Alexandria via LeMat-Bulk.

Cell lengths 3.686, 3.686, 10.363 Å; angles 90.00, 90.00, 90.00 degrees
Space group P-4m2 (No. 115)
Unique sites:
U (0.000, 0.500, 0.242) (multiplicity 2)
Co (0.000, 0.000, 0.500) (multiplicity 1)
Co (0.000, 0.500, 0.841) (multiplicity 2)
Co (0.500, 0.500, 0.500) (multiplicity 1)
Si (0.000, 0.000, 0.000) (multiplicity 1)
Si (0.000, 0.500, 0.622) (multiplicity 2)
Ni (0.500, 0.500, 0.000) (multiplicity 1)

crystal system	tetragonal
total moment	0.00	μB/cell
formation energy from raw total energies	-0.507	eV per atom


# 2
The following is a PBE calculation of a geometry-optimized SeS structure, from Alexandria via LeMat-Bulk.

Cell lengths 4.433, 2.650, 9.595 Å; angles 90.00, 90.00, 90.00 degrees
Space group Pmma (No. 51)
Unique sites:
Se (0.250, 0.000, 0.137) (multiplicity 2)
S (0.250, 0.000, 0.364) (multiplicity 2)

crystal system	orthorhombic
total moment	0.00	μB/cell
formation energy from raw total energies	0.260	eV per atom
energy relative to the lowest polymorph listed for this composition	0.43	eV/f.u.


# 3
The following is a PBE calculation of a geometry-optimized Ir4RhW structure, from Alexandria via LeMat-Bulk.

Cell lengths 7.216, 7.216, 7.216 Å; angles 90.00, 90.00, 90.00 degrees
Space group F-43m (No. 216)
Unique sites:
Ir (0.125, 0.125, 0.125) (multiplicity 16)
Rh (0.000, 0.000, 0.500) (multiplicity 4)
W (0.250, 0.250, 0.750) (multiplicity 4)

crystal system	cubic
total moment	0.00	μB/cell
energy relative to the elements	0.345	eV per atom
energy relative to the lowest polymorph listed for this composition	3.32	eV/f.u.


# 4
The following is a PBE calculation of a geometry-optimized Cs3Na2TbBr8 structure, from Alexandria via LeMat-Bulk.

Cell lengths 8.0335, 8.0335, 10.7577 Å; angles 90.00, 90.00, 120.00 degrees
Space group P-3m1 (No. 164)
Unique sites:
Cs (0.0000, 0.0000, 0.0000) (multiplicity 1)
Cs (0.3333, 0.6667, 0.6242) (multiplicity 2)
Na (0.3333, 0.6667, 0.1899) (multiplicity 2)
Tb (0.0000, 0.0000, 0.5000) (multiplicity 1)
Br (0.1620, 0.3240, 0.3441) (multiplicity 6)
Br (0.3333, 0.6667, 0.9408) (multiplicity 2)

crystal system	trigonal
total moment	0.00	μB/cell
formation energy from raw total energies	-1.716	eV per atom


Question: What is the total moment in the first record?
Answer: 0.00 μB/cell


Question: Number 3 is which compound?
Answer: Ir4RhW